Entry 1:
Entry from Alexandria: an optimized crystal structure of NaS8 (PBE).

Cell lengths 8.765, 8.765, 8.047 Å; angles 90.00, 90.00, 90.00 degrees
Space group I4/mmm (No. 139)
Inequivalent atoms, fractional coordinates:
Na: 0.000 0.000 0.000
S: 0.000 0.310 0.000
S: 0.240 0.240 0.000

Summary:
uncorrected formation energy: 460 meV per atom
Fermi-level density of states: 19.1 states/eV per cell
ρ: 1502 kg/m3



Entry 2:
Entry from Alexandria: an optimized crystal structure of NaS5 (PBE).

Cell lengths 4.683, 12.679, 6.159 Å; angles 90.00, 110.39, 90.00 degrees
Space group P2_1/m (No. 11)
Inequivalent atoms, fractional coordinates:
Na: 0.178 0.250 0.008
S: 0.341 0.250 0.534
S: 0.344 0.603 0.997
S: 0.368 0.622 0.326

Summary:
uncorrected formation energy: -175 meV per atom
Fermi-level density of states: 5.6 states/eV per cell
ρ: 1776 kg/m3
excess energy over the best structure of this formula in the dataset: 0 meV/atom



Entry 3:
Entry from Alexandria: an optimized crystal structure of NaS3 (PBE).

Cell lengths 4.240, 4.427, 5.016 Å; angles 90.00, 90.00, 90.00 degrees
Space group Pmm2 (No. 25)
Inequivalent atoms, fractional coordinates:
Na: 0.000 0.000 0.000
S: 0.000 0.500 0.333
S: 0.500 0.000 0.642
S: 0.500 0.500 0.502

Summary:
uncorrected formation energy: -193 meV per atom
Fermi-level density of states: 3.3 states/eV per cell
ρ: 2102 kg/m3
excess energy over the best structure of this formula in the dataset: 0 meV/atom



Entry 4:
Entry from Alexandria: an optimized crystal structure of NaS2 (PBE).

Cell lengths 8.055, 8.039, 5.372 Å; angles 90.00, 131.67, 90.00 degrees
Space group C2/m (No. 12)
Inequivalent atoms, fractional coordinates:
Na: 0.000 0.250 0.000
S: 0.121 0.000 0.493
S: 0.121 0.500 0.749

Summary:
uncorrected formation energy: -449 meV per atom
Fermi-level density of states: 13.9 states/eV per cell
ρ: 2227 kg/m3
excess energy over the best structure of this formula in the dataset: 134 meV/atom



Entry 5:
Entry from Alexandria: an optimized crystal structure of Na2S3 (PBE).

Cell lengths 10.559, 21.441, 4.762 Å; angles 90.00, 90.00, 90.00 degrees
Space group Fdd2 (No. 43)
Inequivalent atoms, fractional coordinates:
Na: 0.105 0.189 0.000
S: 0.000 0.000 0.278
S: 0.111 0.056 0.012

Summary:
uncorrected formation energy: -655 meV per atom
Fermi-level density of states: 0.0 states/eV per cell
ρ: 1752 kg/m3



Entry 6:
Entry from Alexandria: an optimized crystal structure of Na5S (PBE).

Cell lengths 4.525, 23.362, 3.677 Å; angles 90.00, 90.00, 90.00 degrees
Space group Cmmm (No. 65)
Inequivalent atoms, fractional coordinates:
Na: 0.000 0.000 0.000
Na: 0.000 0.195 0.500
Na: 0.000 0.409 0.000
S: 0.000 0.500 0.500

Summary:
uncorrected formation energy: -379 meV per atom
Fermi-level density of states: 3.9 states/eV per cell
ρ: 1256 kg/m3